This record from the Alexandria database describes an optimized crystal structure of Sr3MnO. The functional is PBE with a Hubbard U.

Cell lengths 5.2925, 5.2925, 5.2925 Å; angles 90.00, 90.00, 90.00 degrees
Space group Pm-3m (No. 221)
Asymmetric unit:
Sr: 0.0000 0.0000 0.5000
Mn: 0.5000 0.5000 0.5000
O: 0.0000 0.0000 0.0000

Computed properties:
Energy above the lowest structure with this stoichiometry   0.0000 eV/atom
Magnetization   5.105 μB/cell